Record 1
YSb2TeBr | PBE-GGA | relaxed

Volume ... 38.2 Å³ per atom
Excess energy over the best structure of this formula in the dataset ... 125 meV/atom
Symmetry ... No. 123
Total magnetic moment ... 0.00 μB per formula unit

Geometry as POSCAR:
```
YSb2TeBr
1.0
5.749 0.000 0.000
0.000 5.749 0.000
0.000 0.000 5.779
Y Sb Te Br
1 2 1 1
Direct
0.000 0.000 0.000 Y
0.000 0.500 0.500 Sb
0.500 0.000 0.500 Sb
0.000 0.000 0.500 Te
0.500 0.500 0.000 Br
```


Record 2
Sr2BiAs3Pd4 | PBE-GGA | relaxed

Volume ... 21.8 Å³ per atom
Symmetry ... No. 115
Total magnetic moment ... 0.00 μB per formula unit
DFT total energy ... -4.905 eV/atom

Geometry as POSCAR:
```
Sr2BiAs3Pd4
1.0
4.473 0.000 0.000
0.000 4.473 0.000
0.000 0.000 10.881
Sr Bi As Pd
2 1 3 4
Direct
0.000 0.500 0.233 Sr
0.500 0.000 0.767 Sr
0.000 0.000 0.500 Bi
0.000 0.500 0.877 As
0.500 0.000 0.123 As
0.500 0.500 0.500 As
0.000 0.000 0.000 Pd
0.000 0.500 0.649 Pd
0.500 0.000 0.351 Pd
0.500 0.500 0.000 Pd
```


Record 3
KRb2BaH | PBE-GGA | relaxed

Volume ... 57.1 Å³ per atom
Symmetry ... No. 123
Total magnetic moment ... 0.00 μB per formula unit
DFT total energy ... -1.656 eV/atom

Geometry as POSCAR:
```
KRb2BaH
1.0
7.322 0.000 0.000
0.000 7.322 0.000
0.000 0.000 5.322
K Rb Ba H
1 2 1 1
Direct
0.000 0.000 0.000 K
0.000 0.500 0.500 Rb
0.500 0.000 0.500 Rb
0.500 0.500 0.000 Ba
0.500 0.500 0.500 H
```


Record 4
Tm8Ni2Ru | PBE-GGA | relaxed

Volume ... 23.6 Å³ per atom
Excess energy over the best structure of this formula in the dataset ... 0 meV/atom
Symmetry ... No. 12
Total magnetic moment ... 0.00 μB per formula unit

Geometry as POSCAR:
```
Tm8Ni2Ru
1.0
8.383 -2.468 0.000
8.383 2.468 0.000
-1.928 0.000 6.283
Tm Ni Ru
8 2 1
Direct
0.035 0.035 0.294 Tm
0.200 0.200 0.820 Tm
0.330 0.330 0.525 Tm
0.407 0.407 0.054 Tm
0.593 0.593 0.946 Tm
0.670 0.670 0.475 Tm
0.800 0.800 0.180 Tm
0.965 0.965 0.706 Tm
0.187 0.187 0.209 Ni
0.813 0.813 0.791 Ni
0.500 0.500 0.500 Ru
```


Record 5
BaHfNi3 | PBE-GGA | relaxed

Volume ... 23.0 Å³ per atom
Excess energy over the best structure of this formula in the dataset ... 0 meV/atom
Symmetry ... No. 221
Total magnetic moment ... 0.00 μB per formula unit

Geometry as POSCAR:
```
BaHfNi3
1.0
4.863 0.000 0.000
0.000 4.863 0.000
0.000 0.000 4.863
Ba Hf Ni
1 1 3
Direct
0.000 0.000 0.000 Ba
0.500 0.500 0.500 Hf
0.000 0.500 0.500 Ni
0.500 0.000 0.500 Ni
0.500 0.500 0.000 Ni
```


Record 6
Tb2Pm3Er | PBE-GGA | relaxed

Volume ... 33.0 Å³ per atom
Excess energy over the best structure of this formula in the dataset ... 12 meV/atom
Symmetry ... No. 2
Total magnetic moment ... 0.00 μB per formula unit

Geometry as POSCAR:
```
Tb2Pm3Er
1.0
7.239 0.000 0.000
3.609 6.284 0.000
1.839 1.061 8.698
Tb Pm Er
4 6 2
Direct
0.137 0.138 0.170 Tb
0.138 0.639 0.167 Tb
0.862 0.361 0.833 Tb
0.863 0.862 0.830 Tb
0.249 0.250 0.499 Pm
0.361 0.361 0.832 Pm
0.361 0.861 0.835 Pm
0.639 0.139 0.165 Pm
0.639 0.639 0.168 Pm
0.751 0.750 0.501 Pm
0.249 0.751 0.499 Er
0.751 0.249 0.501 Er
```


Record 7
Tl2OsAu | PBE-GGA | relaxed

Volume ... 20.6 Å³ per atom
Excess energy over the best structure of this formula in the dataset ... 247 meV/atom
Symmetry ... No. 47
Total magnetic moment ... 0.42 μB per formula unit

Geometry as POSCAR:
```
Tl2OsAu
1.0
3.176 0.000 0.000
0.000 4.800 0.000
0.000 0.000 5.404
Tl Os Au
2 1 1
Direct
0.000 0.000 0.000 Tl
0.500 0.000 0.500 Tl
0.000 0.500 0.500 Os
0.500 0.500 0.000 Au
```


Record 8
NdHS | PBE-GGA | relaxed

Volume ... 21.4 Å³ per atom
Symmetry ... No. 216
Total magnetic moment ... 0.00 μB per formula unit
DFT total energy ... -5.340 eV/atom

Geometry as POSCAR:
```
NdHS
1.0
0.000 3.176 3.176
3.176 0.000 3.176
3.176 3.176 0.000
Nd H S
1 1 1
Direct
0.000 0.000 0.000 Nd
0.750 0.750 0.750 H
0.250 0.250 0.250 S
```


- Which value of total magnetic moment does entry 5 give?
  0.00 μB per formula unit